{
  "formula": "FeOsPbO2",
  "functional": "GGA+U",
  "state": "relaxed",
  "spacegroup": "P4/mmm (123)",
  "total_energy_ev_per_atom": -6.093,
  "cell": [[-3.5444, -1.4423, 0.4850], [2.2199, -4.2313, 3.6403], [-0.5324, 2.3272, 3.0297]],
  "species": ["O", "Os", "Pb", "O", "Fe"],
  "frac_coords": [[0.5000, 0.0000, 0.0000], [0.0000, 0.0000, 0.0000], [0.0000, 0.5000, 0.0000], [0.0000, 0.0000, 0.5000], [0.5000, 0.5000, 0.5000]]
}